SnC | GGA-PBE | relaxed

Computed properties:
* crystal system: monoclinic
* energy: -0.2110 Ha/atom
* energy above the lowest structure with this stoichiometry: 59.5 meV per atom
* energy of formation: 0.8713 eV/atom
* N(E_F): 1.92 states/eV/cell

abc: 3.5122 3.5122 6.6964
angles: 105.24 105.24 59.93
Sites, in units of the cell vectors:
Sn (0.0000, 0.0000, 0.0000)
Sn (0.1959, 0.1959, 0.5935)
C (0.3963, 0.3963, 0.1920)
C (0.4686, 0.4686, 0.4073)

***

TaSn2C | GGA-PBE | relaxed

Computed properties:
* crystal system: tetragonal
* energy: -0.2266 Ha/atom
* energy of formation: 1.1042 eV/atom
* N(E_F): 6.20 states/eV/cell

abc: 5.7776 5.7776 5.7776
angles: 107.10 107.10 114.33
Sites, in units of the cell vectors:
Ta (0.0000, 0.0000, 0.0000)
Ta (0.7500, 0.2500, 0.5000)
Sn (0.1997, 0.6250, 0.0747)
Sn (0.3750, 0.4497, 0.5747)
Sn (0.5503, 0.1250, 0.9253)
Sn (0.8750, 0.8003, 0.4253)
C (0.2500, 0.7500, 0.5000)
C (0.5000, 0.5000, 0.0000)

***

Ta4SnC | GGA-PBE | relaxed

Computed properties:
* crystal system: orthorhombic
* energy: -0.3571 Ha/atom
* energy of formation: 0.3900 eV/atom
* N(E_F): 3.73 states/eV/cell

abc: 6.1602 6.1602 3.0954
angles: 90.00 90.00 95.08
Sites, in units of the cell vectors:
Ta (0.1721, 0.1721, 0.5000)
Ta (0.2358, 0.7642, 0.0000)
Ta (0.7642, 0.2358, 0.0000)
Ta (0.8279, 0.8279, 0.5000)
Sn (0.5000, 0.5000, 0.5000)
C (0.0000, 0.0000, 0.0000)

***

TaSnC2 | GGA-PBE | relaxed

Computed properties:
* crystal system: tetragonal
* energy: -0.2935 Ha/atom
* energy of formation: 0.5882 eV/atom
* N(E_F): 4.17 states/eV/cell

abc: 6.0491 6.0491 6.0491
angles: 130.35 130.35 72.84
Sites, in units of the cell vectors:
Ta (0.0000, 0.0000, 0.0000)
Ta (0.7500, 0.2500, 0.5000)
Sn (0.2500, 0.7500, 0.5000)
Sn (0.5000, 0.5000, 0.0000)
C (0.0972, 0.6250, 0.9722)
C (0.3750, 0.3472, 0.4722)
C (0.6528, 0.1250, 0.0278)
C (0.8750, 0.9028, 0.5278)

***

> Among the records above, which one has the lowest energy?

Ta4SnC